Record 1
The following is a DFT calculation (PBE-GGA) of an optimized crystal structure of Li2LaPmTe4.

a = 7.535 Å, b = 4.498 Å, c = 7.790 Å
α = 90.00°, β = 110.11°, γ = 90.00°
Fractional coordinates of all 8 atoms:
Li: 0.000 0.000 0.000
Li: 0.000 0.500 0.500
La: 0.500 0.000 0.500
Pm: 0.500 0.500 0.000
Te: 0.237 0.500 0.241
Te: 0.239 0.000 0.751
Te: 0.761 0.000 0.249
Te: 0.763 0.500 0.759

Results
Its uncorrected formation energy is -10.66 eV/f.u. As for the symmetry: P2/m.


Record 2
The following is a DFT calculation (PBE-GGA) of an optimized crystal structure of SrCaAgPt.

a = 4.593 Å, b = 6.012 Å, c = 6.012 Å
α = 40.42°, β = 90.00°, γ = 90.00°
Fractional coordinates of all 4 atoms:
Sr: 0.000 0.000 0.000
Ca: 0.500 0.280 0.280
Ag: 0.500 0.574 0.574
Pt: 0.000 0.723 0.723

Results
The calculation puts the formation energy from the elements at -593 meV per atom. As for the symmetry: Amm2.


Record 3
The following is a DFT calculation (PBE-GGA) of an optimized crystal structure of SmAlSiPt6.

a = 7.947 Å, b = 7.947 Å, c = 7.947 Å
α = 127.42°, β = 112.63°, γ = 90.43°
Fractional coordinates of all 18 atoms:
Sm: 0.415 0.165 0.250
Sm: 0.585 0.835 0.750
Al: 0.000 0.000 0.500
Al: 0.000 0.500 0.000
Si: 0.000 0.500 0.500
Si: 0.500 0.500 0.000
Pt: 0.115 0.364 0.228
Pt: 0.115 0.887 0.751
Pt: 0.149 0.899 0.250
Pt: 0.333 0.583 0.750
Pt: 0.364 0.113 0.728
Pt: 0.364 0.636 0.251
Pt: 0.636 0.364 0.749
Pt: 0.636 0.887 0.272
Pt: 0.667 0.417 0.250
Pt: 0.851 0.101 0.750
Pt: 0.885 0.113 0.249
Pt: 0.885 0.636 0.772

Results
Its uncorrected formation energy is -5.38 eV/f.u. As for the symmetry: Imma.


Record 4
The following is a DFT calculation (PBE-GGA) of an optimized crystal structure of TiNbMo6.

a = 5.611 Å, b = 5.611 Å, c = 5.611 Å
α = 110.39°, β = 110.39°, γ = 110.39°
Fractional coordinates of all 8 atoms:
Ti: 0.000 0.000 0.000
Nb: 0.500 0.500 0.500
Mo: 0.246 0.750 0.750
Mo: 0.250 0.250 0.754
Mo: 0.250 0.754 0.250
Mo: 0.750 0.246 0.750
Mo: 0.750 0.750 0.246
Mo: 0.754 0.250 0.250

Results
The calculation puts the formation energy from the elements at 173 meV per atom. As for the symmetry: R-3m.


Record 5
The following is a DFT calculation (PBE-GGA) of an optimized crystal structure of YTm2Tl4.

a = 6.443 Å, b = 4.908 Å, c = 6.589 Å
α = 90.00°, β = 96.22°, γ = 90.00°
Fractional coordinates of all 7 atoms:
Y: 0.000 0.000 0.000
Tm: 0.244 0.500 0.374
Tm: 0.755 0.500 0.625
Tl: 0.239 0.500 0.844
Tl: 0.498 0.000 0.258
Tl: 0.502 0.000 0.745
Tl: 0.760 0.500 0.156

Results
The calculation puts the formation energy from the elements at -58 meV per atom. As for the symmetry: Pm.


Record 6
The following is a DFT calculation (PBE-GGA) of an optimized crystal structure of Pm12NiRu6.

a = 8.246 Å, b = 8.246 Å, c = 8.246 Å
α = 99.69°, β = 99.69°, γ = 99.69°
Fractional coordinates of all 19 atoms:
Pm: 0.054 0.678 0.916
Pm: 0.084 0.946 0.322
Pm: 0.179 0.415 0.569
Pm: 0.322 0.084 0.946
Pm: 0.415 0.569 0.179
Pm: 0.431 0.821 0.585
Pm: 0.569 0.179 0.415
Pm: 0.585 0.431 0.821
Pm: 0.678 0.916 0.054
Pm: 0.821 0.585 0.431
Pm: 0.916 0.054 0.678
Pm: 0.946 0.322 0.084
Ni: 0.000 0.000 0.000
Ru: 0.132 0.612 0.299
Ru: 0.299 0.132 0.612
Ru: 0.388 0.701 0.868
Ru: 0.612 0.299 0.132
Ru: 0.701 0.868 0.388
Ru: 0.868 0.388 0.701

Results
The calculation puts the formation energy from the elements at -118 meV per atom. As for the symmetry: R-3.


Record 7
The following is a DFT calculation (PBE-GGA) of an optimized crystal structure of BaPuPb2.

a = 5.279 Å, b = 5.279 Å, c = 4.817 Å
α = 90.00°, β = 90.00°, γ = 90.00°
Fractional coordinates of all 4 atoms:
Ba: 0.000 0.000 0.000
Pu: 0.500 0.500 0.000
Pb: 0.000 0.500 0.500
Pb: 0.500 0.000 0.500

Results
The calculation puts the formation energy from the elements at -183 meV per atom. As for the symmetry: P4/mmm.


Record 8
The following is a DFT calculation (PBE-GGA) of an optimized crystal structure of Ca2HoMoN4.

a = 5.736 Å, b = 3.281 Å, c = 5.879 Å
α = 90.00°, β = 108.48°, γ = 90.00°
Fractional coordinates of all 8 atoms:
Ca: 0.000 0.000 0.000
Ca: 0.500 0.500 0.000
Ho: 0.000 0.500 0.500
Mo: 0.500 0.000 0.500
N: 0.272 0.000 0.713
N: 0.275 0.500 0.280
N: 0.725 0.500 0.720
N: 0.728 0.000 0.287

Results
Its uncorrected formation energy is -8.08 eV/f.u. As for the symmetry: P2/m.


Record 9
The following is a DFT calculation (PBE-GGA) of an optimized crystal structure of CrGeOs2.

a = 4.292 Å, b = 4.292 Å, c = 3.008 Å
α = 90.00°, β = 90.00°, γ = 90.00°
Fractional coordinates of all 4 atoms:
Cr: 0.000 0.000 0.000
Ge: 0.500 0.500 0.000
Os: 0.000 0.500 0.500
Os: 0.500 0.000 0.500

Results
The calculation puts the formation energy from the elements at 131 meV per atom. As for the symmetry: P4/mmm.


Record 10
The following is a DFT calculation (PBE-GGA) of an optimized crystal structure of Pm8ErTh4.

a = 7.878 Å, b = 7.878 Å, c = 7.878 Å
α = 92.10°, β = 92.10°, γ = 92.10°
Fractional coordinates of all 13 atoms:
Pm: 0.231 0.231 0.742
Pm: 0.231 0.742 0.231
Pm: 0.237 0.237 0.237
Pm: 0.258 0.769 0.769
Pm: 0.742 0.231 0.231
Pm: 0.763 0.763 0.763
Pm: 0.769 0.258 0.769
Pm: 0.769 0.769 0.258
Er: 0.500 0.500 0.500
Th: 0.000 0.000 0.000
Th: 0.000 0.500 0.500
Th: 0.500 0.000 0.500
Th: 0.500 0.500 0.000

Results
The calculation puts the formation energy from the elements at 561 meV per atom. As for the symmetry: R-3m.


Record 11
The following is a DFT calculation (PBE-GGA) of an optimized crystal structure of Sm3YC8.

a = 6.344 Å, b = 6.344 Å, c = 6.344 Å
α = 111.32°, β = 111.32°, γ = 105.84°
Fractional coordinates of all 12 atoms:
Sm: 0.000 0.000 0.000
Sm: 0.250 0.750 0.500
Sm: 0.750 0.250 0.500
Y: 0.500 0.500 0.000
C: 0.104 0.637 0.000
C: 0.112 0.435 0.000
C: 0.363 0.363 0.467
C: 0.435 0.112 0.000
C: 0.565 0.565 0.677
C: 0.637 0.104 0.000
C: 0.888 0.888 0.323
C: 0.896 0.896 0.533

Results
The calculation puts the formation energy from the elements at 143 meV per atom. As for the symmetry: I-42m.


Record 12
The following is a DFT calculation (PBE-GGA) of an optimized crystal structure of CaLaIn.

a = 6.202 Å, b = 6.202 Å, c = 6.202 Å
α = 145.99°, β = 134.15°, γ = 58.30°
Fractional coordinates of all 3 atoms:
Ca: 0.000 0.000 0.000
La: 0.304 0.304 0.000
In: 0.647 0.647 0.000

Results
The calculation puts the formation energy from the elements at -245 meV per atom. As for the symmetry: Imm2.